1.
Density functional theory data (PBE) for a relaxed structure of CoRePd2.

Summary:
DFT total energy: -7.005 eV per atom
polymorph energy (0 for the lowest one): 0.000 eV per atom
crystal system: cubic
space-group type: No. 225
density of states at the Fermi level: 6.18 states/eV/cell

```
CoRePd2
1.0
0.0000 3.0603 3.0603
3.0603 0.0000 3.0603
3.0603 3.0603 0.0000
Re Pd Co
1 2 1
direct
0.5000 0.5000 0.5000
0.2500 0.2500 0.2500
0.7500 0.7500 0.7500
0.0000 0.0000 0.0000
```


2.
Density functional theory data (PBE) for a relaxed structure of AlNiP2C.

Summary:
DFT total energy: -6.035 eV per atom
polymorph energy (0 for the lowest one): 0.000 eV per atom
crystal system: trigonal
space-group type: No. 156
density of states at the Fermi level: 1.53 states/eV/cell

```
AlNiP2C
1.0
3.3437 0.0000 0.0000
-1.6719 2.8957 0.0000
0.0000 0.0000 7.1535
P Ni C Al
2 1 1 1
direct
0.6667 0.3333 0.8034
0.0000 0.0000 0.4689
0.3333 0.6667 0.6362
0.0000 0.0000 0.2273
0.6667 0.3333 0.1430
```


3.
Density functional theory data (PBE) for a relaxed structure of GaReGe2.

Summary:
DFT total energy: -5.902 eV per atom
polymorph energy (0 for the lowest one): 0.118 eV per atom
crystal system: orthorhombic
space-group type: No. 71
density of states at the Fermi level: 2.05 states/eV/cell

```
GaReGe2
1.0
5.2647 -2.2631 -3.8321
-2.0502 5.3512 3.8321
-3.8793 0.8210 5.6392
Re Ge Ga
1 2 1
direct
0.0000 0.5000 0.5000
0.0000 0.7005 0.7005
0.0000 0.2995 0.2995
0.0000 0.0000 0.0000
```


4.
Density functional theory data (PBE) for a relaxed structure of Al2TlTcO8.

Summary:
DFT total energy: -6.686 eV per atom
crystal system: orthorhombic
space-group type: No. 65
ΔE_f (raw): -1.696 eV per atom
density of states at the Fermi level: 0.31 states/eV/cell

```
Al2TlTcO8
1.0
-0.5521 4.3080 1.4603
-1.0795 -1.6101 4.1471
6.0604 0.2138 1.6605
Tl O Al Tc
1 8 2 1
direct
0.0000 0.0000 0.5000
0.6967 0.6977 0.0000
0.2091 0.7897 0.7931
0.3033 0.3023 0.0000
0.3259 0.3248 0.5000
0.7909 0.2103 0.7931
0.2091 0.7897 0.2069
0.6741 0.6752 0.5000
0.7909 0.2103 0.2069
0.5000 0.5000 0.7521
0.5000 0.5000 0.2479
0.0000 0.0000 0.0000
```


5.
Density functional theory data (PBE) for a relaxed structure of Li2PBr.

Summary:
DFT total energy: -3.207 eV per atom
polymorph energy (0 for the lowest one): 0.108 eV per atom
crystal system: monoclinic
space-group type: No. 12
ΔE_f (raw): -0.480 eV per atom
density of states at the Fermi level: 1.45 states/eV/cell

```
Li2PBr
1.0
-0.4174 4.1351 0.9634
-1.9917 3.3050 -1.8197
-5.2354 0.5335 2.8024
Br Li P
1 2 1
direct
0.2500 0.2500 0.2500
0.9953 0.9953 0.9701
0.5047 0.5047 0.5299
0.7500 0.7500 0.7500
```


6.
Density functional theory data (PBE) for a relaxed structure of OsRh2O.

Summary:
DFT total energy: -7.125 eV per atom
crystal system: tetragonal
space-group type: No. 122
ΔE_f (raw): 0.598 eV per atom
density of states at the Fermi level: 6.77 states/eV/cell

```
OsRh2O
1.0
-0.6836 -5.5673 -1.3785
5.6820 -0.8465 0.6010
2.0023 -4.0242 3.1583
Os Rh O
2 4 2
direct
0.7500 0.2500 0.5000
0.0000 0.0000 0.0000
0.5798 0.1250 0.2500
0.8750 0.8298 0.7500
0.3750 0.4202 0.7500
0.1702 0.6250 0.2500
0.5000 0.5000 0.0000
0.2500 0.7500 0.5000
```


Copy entry 3 word for word.
Density functional theory data (PBE) for a relaxed structure of GaReGe2.

Summary:
DFT total energy: -5.902 eV per atom
polymorph energy (0 for the lowest one): 0.118 eV per atom
crystal system: orthorhombic
space-group type: No. 71
density of states at the Fermi level: 2.05 states/eV/cell

```
GaReGe2
1.0
5.2647 -2.2631 -3.8321
-2.0502 5.3512 3.8321
-3.8793 0.8210 5.6392
Re Ge Ga
1 2 1
direct
0.0000 0.5000 0.5000
0.0000 0.7005 0.7005
0.0000 0.2995 0.2995
0.0000 0.0000 0.0000
```